A plane-wave DFT calculation with PBE was carried out for a relaxed structure of ErScNi2Pb.

Output
The value obtained for the energy is -5.64 eV/atom.

Cell lengths 3.5384, 3.9090, 14.0203 Å; angles 90.00, 90.00, 90.00 degrees
Last column: nearest neighbours and their distance in Å.
Space group Amm2 (No. 38)
Unique sites:
Er 0.0000 0.0000 0.0000 [2 per cell]  6 Ni 2.77-2.87
Sc 0.0000 0.0000 0.7157 [2 per cell]  6 Ni 2.74-2.81
Ni 0.5000 0.0000 0.1615 [2 per cell]  2 Ni 2.42, 1 Pb 2.70
Ni 0.5000 0.0000 0.5599 [2 per cell]  2 Ni 2.42
Pb 0.5000 0.0000 0.3543 [2 per cell]  2 Ni 2.70-2.88


A plane-wave DFT calculation with PBE was carried out for a relaxed structure of SmErNi2Pb.

Output
The value obtained for the energy is -5.32 eV/atom.

Cell lengths 3.7104, 3.9938, 14.3790 Å; angles 90.00, 90.00, 90.00 degrees
Last column: nearest neighbours and their distance in Å.
Space group Amm2 (No. 38)
Unique sites:
Sm 0.0000 0.0000 0.0000 [2 per cell]  6 Ni 2.89-2.99
Er 0.0000 0.0000 0.2792 [2 per cell]  6 Ni 2.85-2.89
Ni 0.5000 0.0000 0.4333 [2 per cell]  2 Ni 2.43
Ni 0.5000 0.0000 0.8367 [2 per cell]  2 Ni 2.43
Pb 0.5000 0.0000 0.6417 [2 per cell]  2 Ni 2.80-3.00


A plane-wave DFT calculation with PBE was carried out for a relaxed structure of TbErNi2Pb.

Output
The value obtained for the energy is -5.33 eV/atom.

Cell lengths 3.6845, 3.9661, 14.2521 Å; angles 90.00, 90.00, 90.00 degrees
Last column: nearest neighbours and their distance in Å.
Space group Amm2 (No. 38)
Unique sites:
Tb 0.0000 0.0000 0.0000 [2 per cell]  6 Ni 2.85-2.94
Er 0.0000 0.0000 0.7197 [2 per cell]  6 Ni 2.83-2.90
Ni 0.5000 0.0000 0.1608 [2 per cell]  2 Ni 2.42
Ni 0.5000 0.0000 0.5629 [2 per cell]  2 Ni 2.42
Pb 0.5000 0.0000 0.3588 [2 per cell]  2 Ni 2.82-2.91